1.
# Pm6Ir3S2Cl

An optimized crystal structure of Pm6Ir3S2Cl (GGA-PBE, the Alexandria database).

a = 18.561 Å, b = 4.026 Å, c = 8.574 Å
α = 90.00°, β = 108.50°, γ = 90.00°
Space group C2/m (No. 12)
Unique sites:
Pm 0.001 0.000 0.273
Pm 0.165 0.500 0.585
Pm 0.179 0.500 0.074
Ir 0.000 0.500 0.500
Ir 0.162 0.000 0.823
S 0.166 0.000 0.325
Cl 0.000 0.500 0.000

Calculated values
uncorrected formation energy	-1.232	eV/atom
total DFT energy (no corrections)	-6.66	eV per atom
magnetization	0.00	μB per atom


2.
# SnBi2Pb

An optimized crystal structure of SnBi2Pb (GGA-PBE, the Alexandria database).

a = 7.236 Å, b = 7.236 Å, c = 13.810 Å
α = 90.00°, β = 90.00°, γ = 90.00°
Space group I-42d (No. 122)
Unique sites:
Sn 0.000 0.000 0.000
Bi 0.231 0.250 0.125
Pb 0.000 0.000 0.500

Calculated values
total DFT energy (no corrections)	-3.66	eV per atom
magnetization	0.00	μB per atom
energy of formation	0.206	eV/atom


3.
# Tb2ErCd2

An optimized crystal structure of Tb2ErCd2 (GGA-PBE, the Alexandria database).

a = 4.989 Å, b = 6.832 Å, c = 8.234 Å
α = 90.00°, β = 90.00°, γ = 90.00°
Space group Immm (No. 71)
Unique sites:
Tb 0.000 0.000 0.198
Er 0.000 0.500 0.000
Cd 0.000 0.289 0.500

Calculated values
total DFT energy (no corrections)	-3.30	eV per atom
magnetization	0.00	μB per atom
energy of formation	-0.165	eV/atom


4.
# PRuRh2

An optimized crystal structure of PRuRh2 (GGA-PBE, the Alexandria database).

a = 4.521 Å, b = 4.521 Å, c = 2.736 Å
α = 90.00°, β = 90.00°, γ = 90.00°
Space group P4/mmm (No. 123)
Unique sites:
P 0.000 0.000 0.000
Ru 0.500 0.500 0.000
Rh 0.000 0.500 0.500

Calculated values
total DFT energy (no corrections)	-7.19	eV per atom
magnetization	0.00	μB per atom
energy of formation	0.154	eV/atom


5.
# GeBN2O

An optimized crystal structure of GeBN2O (GGA-PBE, the Alexandria database).

a = 3.876 Å, b = 3.876 Å, c = 3.730 Å
α = 90.00°, β = 90.00°, γ = 90.00°
Space group P4/mmm (No. 123)
Unique sites:
Ge 0.000 0.000 0.000
B 0.500 0.500 0.500
N 0.000 0.500 0.000
O 0.000 0.000 0.500

Calculated values
uncorrected formation energy	1.682	eV/atom
total DFT energy (no corrections)	-4.90	eV per atom
magnetization	0.58	μB per atom


6.
# AcPuZnAs

An optimized crystal structure of AcPuZnAs (GGA-PBE, the Alexandria database).

a = 7.477 Å, b = 7.477 Å, c = 7.477 Å
α = 90.00°, β = 90.00°, γ = 90.00°
Space group F-43m (No. 216)
Unique sites:
Ac 0.000 0.000 0.000
Pu 0.000 0.000 0.500
Zn 0.250 0.250 0.250
As 0.250 0.250 0.750

Calculated values
total DFT energy (no corrections)	-6.53	eV per atom
magnetization	1.65	μB per atom
energy of formation	-0.436	eV/atom


Repeat the fourth record exactly.
# PRuRh2

An optimized crystal structure of PRuRh2 (GGA-PBE, the Alexandria database).

a = 4.521 Å, b = 4.521 Å, c = 2.736 Å
α = 90.00°, β = 90.00°, γ = 90.00°
Space group P4/mmm (No. 123)
Unique sites:
P 0.000 0.000 0.000
Ru 0.500 0.500 0.000
Rh 0.000 0.500 0.500

Calculated values
total DFT energy (no corrections)	-7.19	eV per atom
magnetization	0.00	μB per atom
energy of formation	0.154	eV/atom


Question: Number 2 is which compound?
Answer: SnBi2Pb


Please write out number 1 again, unchanged.
# Pm6Ir3S2Cl

An optimized crystal structure of Pm6Ir3S2Cl (GGA-PBE, the Alexandria database).

a = 18.561 Å, b = 4.026 Å, c = 8.574 Å
α = 90.00°, β = 108.50°, γ = 90.00°
Space group C2/m (No. 12)
Unique sites:
Pm 0.001 0.000 0.273
Pm 0.165 0.500 0.585
Pm 0.179 0.500 0.074
Ir 0.000 0.500 0.500
Ir 0.162 0.000 0.823
S 0.166 0.000 0.325
Cl 0.000 0.500 0.000

Calculated values
uncorrected formation energy	-1.232	eV/atom
total DFT energy (no corrections)	-6.66	eV per atom
magnetization	0.00	μB per atom